[1]
Computed, not measured: crystalline Sm8Te3As4 at its relaxed geometry at the GGA-PBE level of DFT.

Output
The total moment is 0.00 μB per cell. As for the space group: C2/m (12). The electronic total energy comes out at -5.7364 eV per atom.

a = 8.592 Å, b = 8.592 Å, c = 8.561 Å
α = 119.79°, β = 119.79°, γ = 90.10°
Fractional positions:
Sm  0.230  0.230  0.979
Sm  0.238  0.238  0.484
Sm  0.239  0.761  0.000
Sm  0.242  0.758  0.500
Sm  0.758  0.242  0.500
Sm  0.761  0.239  0.000
Sm  0.762  0.762  0.516
Sm  0.770  0.770  0.021
Te  0.000  0.500  0.000
Te  0.500  0.000  0.000
Te  0.500  0.500  0.000
As  0.000  0.000  0.000
As  0.000  0.000  0.500
As  0.000  0.500  0.500
As  0.500  0.000  0.500



[2]
Computed, not measured: crystalline Sm3TeAs2 at its relaxed geometry at the GGA-PBE level of DFT.

Output
The total moment is 0.00 μB per cell. As for the space group: Imma (74). The electronic total energy comes out at -5.5150 eV per atom.

a = 8.220 Å, b = 8.220 Å, c = 8.220 Å
α = 124.92°, β = 91.11°, γ = 114.08°
Fractional positions:
Sm  0.000  0.229  0.229
Sm  0.000  0.771  0.771
Sm  0.500  0.000  0.000
Sm  0.500  0.229  0.729
Sm  0.500  0.500  0.500
Sm  0.500  0.771  0.271
Te  0.192  0.942  0.250
Te  0.808  0.058  0.750
As  0.266  0.713  0.553
As  0.340  0.287  0.053
As  0.660  0.713  0.947
As  0.734  0.287  0.447



[3]
Computed, not measured: crystalline Sm2TeAs at its relaxed geometry at the GGA-PBE level of DFT.

Output
The total moment is 0.00 μB per cell. As for the space group: R-3m (166). The electronic total energy comes out at -5.8410 eV per atom.

a = 7.652 Å, b = 7.652 Å, c = 7.652 Å
α = 32.52°, β = 32.52°, γ = 32.52°
Fractional positions:
Sm  0.240  0.240  0.240
Sm  0.760  0.760  0.760
Te  0.000  0.000  0.000
As  0.500  0.500  0.500



[4]
Computed, not measured: crystalline Sm5Te4As at its relaxed geometry at the GGA-PBE level of DFT.

Output
The total moment is 0.00 μB per cell. As for the space group: I4/mmm (139). The electronic total energy comes out at -5.5167 eV per atom.

a = 16.220 Å, b = 16.220 Å, c = 16.220 Å
α = 164.56°, β = 164.56°, γ = 21.90°
Fractional positions:
Sm  0.000  0.000  0.000
Sm  0.209  0.209  0.000
Sm  0.411  0.411  0.000
Sm  0.589  0.589  0.000
Sm  0.791  0.791  0.000
Te  0.103  0.103  0.000
Te  0.308  0.308  0.000
Te  0.692  0.692  0.000
Te  0.897  0.897  0.000
As  0.500  0.500  0.000



[5]
Computed, not measured: crystalline Sm2TeAs at its relaxed geometry at the GGA-PBE level of DFT.

Output
The total moment is 0.00 μB per cell. As for the space group: R3m (160). The electronic total energy comes out at -5.8053 eV per atom.

a = 7.865 Å, b = 7.865 Å, c = 7.865 Å
α = 31.21°, β = 31.21°, γ = 31.21°
Fractional positions:
Sm  0.000  0.000  0.000
Sm  0.189  0.189  0.189
Te  0.427  0.427  0.427
As  0.596  0.596  0.596



[6]
Computed, not measured: crystalline Sm2ThTe2As2 at its relaxed geometry at the GGA-PBE level of DFT.

Output
The total moment is 0.00 μB per cell. As for the space group: I4/mmm (139). The electronic total energy comes out at -5.5713 eV per atom.

a = 8.740 Å, b = 8.740 Å, c = 8.740 Å
α = 142.96°, β = 142.96°, γ = 53.39°
Fractional positions:
Sm  0.112  0.112  0.000
Sm  0.888  0.888  0.000
Th  0.500  0.500  0.000
Te  0.304  0.304  0.000
Te  0.696  0.696  0.000
As  0.000  0.500  0.500
As  0.500  0.000  0.500



[7]
Computed, not measured: crystalline SmThTeAs at its relaxed geometry at the GGA-PBE level of DFT.

Output
The total moment is 0.00 μB per cell. As for the space group: R3m (160). The electronic total energy comes out at -6.3619 eV per atom.

a = 7.930 Å, b = 7.930 Å, c = 7.930 Å
α = 30.99°, β = 30.99°, γ = 30.99°
Fractional positions:
Sm  0.000  0.000  0.000
Th  0.809  0.809  0.809
Te  0.238  0.238  0.238
As  0.405  0.405  0.405



[8]
Computed, not measured: crystalline Sm4Tl2TeAs at its relaxed geometry at the GGA-PBE level of DFT.

Output
The total moment is 0.00 μB per cell. As for the space group: P2/m (10). The electronic total energy comes out at -4.8100 eV per atom.

a = 7.298 Å, b = 4.172 Å, c = 8.323 Å
α = 90.00°, β = 106.54°, γ = 90.00°
Fractional positions:
Sm  0.226  0.000  0.221
Sm  0.241  0.500  0.768
Sm  0.759  0.500  0.232
Sm  0.774  0.000  0.779
Tl  0.000  0.000  0.500
Tl  0.500  0.500  0.500
Te  0.500  0.000  0.000
As  0.000  0.500  0.000



[9]
Computed, not measured: crystalline Sm6TlTe3As2 at its relaxed geometry at the GGA-PBE level of DFT.

Output
The total moment is 0.00 μB per cell. As for the space group: C2/m (12). The electronic total energy comes out at -5.4155 eV per atom.

a = 9.825 Å, b = 9.825 Å, c = 8.897 Å
α = 103.71°, β = 103.71°, γ = 25.37°
Fractional positions:
Sm  0.007  0.007  0.252
Sm  0.326  0.326  0.433
Sm  0.333  0.333  0.896
Sm  0.667  0.667  0.104
Sm  0.674  0.674  0.567
Sm  0.993  0.993  0.748
Tl  0.500  0.500  0.000
Te  0.165  0.165  0.831
Te  0.500  0.500  0.500
Te  0.835  0.835  0.169
As  0.168  0.168  0.336
As  0.832  0.832  0.664



[10]
Computed, not measured: crystalline Sm2TmTe2As2 at its relaxed geometry at the GGA-PBE level of DFT.

Output
The total moment is 0.00 μB per cell. As for the space group: I4/mmm (139). The electronic total energy comes out at -5.2162 eV per atom.

a = 8.628 Å, b = 8.628 Å, c = 8.628 Å
α = 144.43°, β = 144.43°, γ = 51.19°
Fractional positions:
Sm  0.112  0.112  0.000
Sm  0.888  0.888  0.000
Tm  0.500  0.500  0.000
Te  0.307  0.307  0.000
Te  0.693  0.693  0.000
As  0.000  0.500  0.500
As  0.500  0.000  0.500



[11]
Computed, not measured: crystalline SmTmTeAs at its relaxed geometry at the GGA-PBE level of DFT.

Output
The total moment is 0.00 μB per cell. As for the space group: R3m (160). The electronic total energy comes out at -5.6766 eV per atom.

a = 7.758 Å, b = 7.758 Å, c = 7.758 Å
α = 31.06°, β = 31.06°, γ = 31.06°
Fractional positions:
Sm  0.000  0.000  0.000
Tm  0.190  0.190  0.190
Te  0.430  0.430  0.430
As  0.593  0.593  0.593



[12]
Computed, not measured: crystalline SmYTeAs at its relaxed geometry at the GGA-PBE level of DFT.

Output
The total moment is 0.00 μB per cell. As for the space group: R3m (160). The electronic total energy comes out at -6.2263 eV per atom.

a = 7.793 Å, b = 7.793 Å, c = 7.793 Å
α = 31.19°, β = 31.19°, γ = 31.19°
Fractional positions:
Sm  0.000  0.000  0.000
Y  0.189  0.189  0.189
Te  0.429  0.429  0.429
As  0.595  0.595  0.595



[13]
Computed, not measured: crystalline SmThAs2 at its relaxed geometry at the GGA-PBE level of DFT.

Output
The total moment is 0.00 μB per cell. As for the space group: R3m (160). The formation enthalpy at 0 K is -5.32 eV/f.u. The electronic total energy comes out at -6.6898 eV per atom.

a = 7.624 Å, b = 7.624 Å, c = 7.624 Å
α = 31.85°, β = 31.85°, γ = 31.85°
Fractional positions:
Sm  0.000  0.000  0.000
Th  0.826  0.826  0.826
As  0.245  0.245  0.245
As  0.413  0.413  0.413



[14]
Computed, not measured: crystalline Sm3ThAs4 at its relaxed geometry at the GGA-PBE level of DFT.

Output
The total moment is 0.00 μB per cell. As for the space group: Pm-3m (221). The formation enthalpy at 0 K is -12.06 eV/f.u. The electronic total energy comes out at -6.5297 eV per atom.

a = 5.978 Å, b = 5.978 Å, c = 5.978 Å
α = 90.00°, β = 90.00°, γ = 90.00°
Fractional positions:
Sm  0.000  0.000  0.500
Sm  0.000  0.500  0.000
Sm  0.500  0.000  0.000
Th  0.500  0.500  0.500
As  0.000  0.000  0.000
As  0.000  0.500  0.500
As  0.500  0.000  0.500
As  0.500  0.500  0.000



[15]
Computed, not measured: crystalline Sm3ThAs4 at its relaxed geometry at the GGA-PBE level of DFT.

Output
The total moment is 0.00 μB per cell. As for the space group: Cmmm (65). The formation enthalpy at 0 K is -12.17 eV/f.u. The electronic total energy comes out at -6.5429 eV per atom.

a = 7.312 Å, b = 7.312 Å, c = 4.231 Å
α = 90.00°, β = 90.00°, γ = 109.46°
Fractional positions:
Sm  0.000  0.000  0.000
Sm  0.000  0.500  0.500
Sm  0.500  0.000  0.500
Th  0.500  0.500  0.000
As  0.250  0.250  0.500
As  0.250  0.750  0.000
As  0.750  0.250  0.000
As  0.750  0.750  0.500



[16]
Computed, not measured: crystalline SmTh3As4 at its relaxed geometry at the GGA-PBE level of DFT.

Output
The total moment is 0.00 μB per cell. As for the space group: Pm-3m (221). The formation enthalpy at 0 K is -11.54 eV/f.u. The electronic total energy comes out at -7.1393 eV per atom.

a = 6.001 Å, b = 6.001 Å, c = 6.001 Å
α = 90.00°, β = 90.00°, γ = 90.00°
Fractional positions:
Sm  0.000  0.000  0.000
Th  0.000  0.500  0.500
Th  0.500  0.000  0.500
Th  0.500  0.500  0.000
As  0.000  0.000  0.500
As  0.000  0.500  0.000
As  0.500  0.000  0.000
As  0.500  0.500  0.500



[17]
Computed, not measured: crystalline SmTh4As5 at its relaxed geometry at the GGA-PBE level of DFT.

Output
The total moment is 0.00 μB per cell. As for the space group: I4/m (87). The formation enthalpy at 0 K is -14.27 eV/f.u. The electronic total energy comes out at -7.1917 eV per atom.

a = 7.354 Å, b = 7.354 Å, c = 7.354 Å
α = 99.60°, β = 99.60°, γ = 131.79°
Fractional positions:
Sm  0.000  0.000  0.000
Th  0.200  0.400  0.600
Th  0.400  0.800  0.199
Th  0.600  0.200  0.801
Th  0.800  0.600  0.400
As  0.100  0.701  0.801
As  0.299  0.100  0.399
As  0.500  0.500  0.000
As  0.701  0.900  0.601
As  0.900  0.299  0.199



[18]
Computed, not measured: crystalline Sm2ThAs3 at its relaxed geometry at the GGA-PBE level of DFT.

Output
The total moment is 0.00 μB per cell. As for the space group: Immm (71). The formation enthalpy at 0 K is -9.05 eV/f.u. The electronic total energy comes out at -6.6421 eV per atom.

a = 7.313 Å, b = 7.313 Å, c = 7.313 Å
α = 146.32°, β = 131.67°, γ = 60.20°
Fractional positions:
Sm  0.167  0.167  0.000
Sm  0.833  0.833  0.000
Th  0.500  0.500  0.000
As  0.000  0.500  0.500
As  0.334  0.834  0.500
As  0.666  0.166  0.500



[19]
Computed, not measured: crystalline Sm5Th3As8 at its relaxed geometry at the GGA-PBE level of DFT.

Output
The total moment is 0.00 μB per cell. As for the space group: R-3m (166). The formation enthalpy at 0 K is -24.00 eV/f.u. The electronic total energy comes out at -6.6906 eV per atom.

a = 8.454 Å, b = 8.454 Å, c = 8.454 Å
α = 60.11°, β = 60.11°, γ = 60.11°
Fractional positions:
Sm  0.000  0.000  0.000
Sm  0.000  0.500  0.500
Sm  0.500  0.000  0.500
Sm  0.500  0.500  0.000
Sm  0.500  0.500  0.500
Th  0.000  0.000  0.500
Th  0.000  0.500  0.000
Th  0.500  0.000  0.000
As  0.250  0.250  0.250
As  0.250  0.250  0.750
As  0.250  0.750  0.250
As  0.250  0.750  0.750
As  0.750  0.250  0.250
As  0.750  0.250  0.750
As  0.750  0.750  0.250
As  0.750  0.750  0.750



[20]
Computed, not measured: crystalline Sm4ThAs5 at its relaxed geometry at the GGA-PBE level of DFT.

Output
The total moment is 0.00 μB per cell. As for the space group: Immm (71). The formation enthalpy at 0 K is -15.19 eV/f.u. The electronic total energy comes out at -6.4735 eV per atom.

a = 11.171 Å, b = 11.171 Å, c = 11.171 Å
α = 158.18°, β = 149.00°, γ = 38.24°
Fractional positions:
Sm  0.102  0.102  0.000
Sm  0.298  0.298  0.000
Sm  0.702  0.702  0.000
Sm  0.898  0.898  0.000
Th  0.500  0.500  0.000
As  0.000  0.500  0.500
As  0.200  0.700  0.500
As  0.400  0.900  0.500
As  0.600  0.100  0.500
As  0.800  0.300  0.500